1.
Compound: Sm5HoAl2
Source: Alexandria
Functional: GGA-PBE
Structure: relaxed

The size of the total moment is 0.00 μB per formula unit. As for the excess energy over the best structure of this formula in the dataset: 0 meV per atom. As for the formation energy: -64 meV/atom.

The structure belongs to space group Immm (No. 71); the cell edges are 3.6205, 10.5844 and 12.2177 Å and the angles 90.00°, 90.00° and 90.00°. The asymmetric unit holds Sm at (0.0000, 0.0000, 0.0000), Sm at (0.0000, 0.2811, 0.3593), Ho at (0.0000, 0.5000, 0.0000) and Al at (0.0000, 0.0000, 0.2763).

---

2.
Compound: Mg3Ga2Sn2
Source: Alexandria
Functional: GGA-PBE
Structure: relaxed

The size of the total moment is 0.00 μB per formula unit. As for the excess energy over the best structure of this formula in the dataset: 55 meV per atom. As for the formation energy: -28 meV/atom.

The structure belongs to space group Immm (No. 71); the cell edges are 4.3409, 4.3619 and 17.6679 Å and the angles 90.00°, 90.00° and 90.00°. The asymmetric unit holds Mg at (0.0000, 0.0000, 0.0000), Mg at (0.0000, 0.5000, 0.1750), Ga at (0.0000, 0.0000, 0.4317) and Sn at (0.0000, 0.5000, 0.3411).

---

3.
Compound: PaAgPb2O8
Source: Alexandria
Functional: GGA-PBE
Structure: relaxed

The size of the total moment is 0.00 μB per formula unit. The uncorrected formation energy comes out at -1.18 eV/atom.

The structure belongs to space group I-4m2 (No. 119); the cell edges are 7.0101, 7.0101 and 7.6036 Å and the angles 90.00°, 90.00° and 90.00°. The asymmetric unit holds Pa at (0.0000, 0.0000, 0.0000), Ag at (0.0000, 0.5000, 0.7500), Pb at (0.0000, 0.0000, 0.5000), Pb at (0.0000, 0.5000, 0.2500), O at (0.0000, 0.1919, 0.7205) and O at (0.0000, 0.2966, 0.0565).